(1)
## Ge2RuRh2 (PBE)

Data for an optimized crystal structure of Ge2RuRh2.

```
data_Ge2RuRh2
_cell_length_a 3.955
_cell_length_b 3.955
_cell_length_c 10.304
_cell_angle_alpha 90.00
_cell_angle_beta 90.00
_cell_angle_gamma 90.00
_space_group_name_H-M_alt 'I 4/m m m'
_space_group_IT_number 139
_space_group_name_Hall '-I 4 2'
loop_
_atom_site_label
_atom_site_type_symbol
_atom_site_fract_x
_atom_site_fract_y
_atom_site_fract_z
Ge1 Ge 0.000 0.000 0.115
Ru1 Ru 0.000 0.000 0.500
Rh1 Rh 0.000 0.500 0.250
```

Values from the calculation:
* excess energy over the best structure of this formula in the dataset: 265 meV/atom
* formation energy from the elements: 0.0575 eV/atom
* VASP energy: -6.585 eV per atom
* crystal system: tetragonal



(2)
## Ga2BrO (PBE)

Data for an optimized crystal structure of Ga2BrO.

```
data_Ga2BrO
_cell_length_a 6.662
_cell_length_b 6.662
_cell_length_c 6.662
_cell_angle_alpha 90.00
_cell_angle_beta 90.00
_cell_angle_gamma 90.00
_space_group_name_H-M_alt 'F m -3 m'
_space_group_IT_number 225
_space_group_name_Hall '-F 4 2 3'
loop_
_atom_site_label
_atom_site_type_symbol
_atom_site_fract_x
_atom_site_fract_y
_atom_site_fract_z
Ga1 Ga 0.250 0.250 0.250
Br1 Br 0.000 0.000 0.000
O1 O 0.000 0.000 0.500
```

Values from the calculation:
* excess energy over the best structure of this formula in the dataset: 586 meV/atom
* formation energy without anion corrections: 19.2 meV/atom
* VASP energy: -3.152 eV per atom
* crystal system: cubic



(3)
## ScOs (PBE)

Data for an optimized crystal structure of ScOs.

```
data_ScOs
_cell_length_a 3.225
_cell_length_b 4.834
_cell_length_c 4.273
_cell_angle_alpha 90.00
_cell_angle_beta 90.00
_cell_angle_gamma 90.00
_space_group_name_H-M_alt 'C m m m'
_space_group_IT_number 65
_space_group_name_Hall '-C 2 2'
loop_
_atom_site_label
_atom_site_type_symbol
_atom_site_fract_x
_atom_site_fract_y
_atom_site_fract_z
Sc1 Sc 0.000 0.000 0.000
Os1 Os 0.000 0.500 0.500
```

Values from the calculation:
* formation energy from the elements: -0.1295 eV/atom
* VASP energy: -8.910 eV per atom
* crystal system: orthorhombic



(4)
## Ho3PaBi4 (PBE)

Data for an optimized crystal structure of Ho3PaBi4.

```
data_Ho3PaBi4
_cell_length_a 6.319
_cell_length_b 6.319
_cell_length_c 12.615
_cell_angle_alpha 90.00
_cell_angle_beta 90.00
_cell_angle_gamma 90.00
_space_group_name_H-M_alt 'I 4/m m m'
_space_group_IT_number 139
_space_group_name_Hall '-I 4 2'
loop_
_atom_site_label
_atom_site_type_symbol
_atom_site_fract_x
_atom_site_fract_y
_atom_site_fract_z
Ho1 Ho 0.000 0.000 0.000
Ho2 Ho 0.000 0.500 0.250
Pa1 Pa 0.000 0.000 0.500
Bi1 Bi 0.000 0.000 0.251
Bi2 Bi 0.000 0.500 0.000
```

Values from the calculation:
* formation energy from the elements: -0.6302 eV/atom
* VASP energy: -5.474 eV per atom
* crystal system: tetragonal